(1)
Tl2In3Sn: optimized geometry, GGA-PBE.

```
data_Tl2In3Sn
_chemical_formula_sum 'Tl4 In6 Sn2'
_space_group_name_H-M_alt 'P 1'
_space_group_IT_number 1
_cell_length_a 5.6503
_cell_length_b 11.1386
_cell_length_c 5.4583
_cell_angle_alpha 90.00
_cell_angle_beta 90.00
_cell_angle_gamma 90.00
loop_
_space_group_symop_operation_xyz
'x,y,z'
loop_
_atom_site_label
_atom_site_type_symbol
_atom_site_fract_x
_atom_site_fract_y
_atom_site_fract_z
_atom_site_occupancy
Tl1 Tl 0.2500 0.0839 0.0500 1
Tl2 Tl 0.2500 0.4161 0.0500 1
Tl3 Tl 0.7500 0.5839 0.9500 1
Tl4 Tl 0.7500 0.9161 0.9500 1
In1 In 0.2500 0.2500 0.5538 1
In2 In 0.2500 0.5865 0.5437 1
In3 In 0.2500 0.9135 0.5437 1
In4 In 0.7500 0.0865 0.4563 1
In5 In 0.7500 0.4135 0.4563 1
In6 In 0.7500 0.7500 0.4462 1
Sn1 Sn 0.2500 0.7500 0.0558 1
Sn2 Sn 0.7500 0.2500 0.9442 1
```

Properties
Symmetry   Pmmn
Calculated volume   28.63 Å³/atom
Energy above the most stable polymorph in this dataset   0 meV/atom

=====

(2)
Pr8Dy3Sc: optimized geometry, GGA-PBE.

```
data_Pr8Dy3Sc
_chemical_formula_sum 'Pr8 Dy3 Sc1'
_space_group_name_H-M_alt 'P 1'
_space_group_IT_number 1
_cell_length_a 8.5238
_cell_length_b 8.5238
_cell_length_c 8.5238
_cell_angle_alpha 118.26
_cell_angle_beta 118.26
_cell_angle_gamma 93.04
loop_
_space_group_symop_operation_xyz
'x,y,z'
loop_
_atom_site_label
_atom_site_type_symbol
_atom_site_fract_x
_atom_site_fract_y
_atom_site_fract_z
_atom_site_occupancy
Pr1 Pr 0.1300 0.1300 0.7479 1
Pr2 Pr 0.2429 0.7246 0.0000 1
Pr3 Pr 0.2754 0.2754 0.5183 1
Pr4 Pr 0.3821 0.3821 0.2521 1
Pr5 Pr 0.6179 0.8700 0.0000 1
Pr6 Pr 0.7246 0.2429 0.0000 1
Pr7 Pr 0.7571 0.7571 0.4817 1
Pr8 Pr 0.8700 0.6179 0.0000 1
Dy1 Dy 0.0000 0.0000 0.0000 1
Dy2 Dy 0.2500 0.7500 0.5000 1
Dy3 Dy 0.7500 0.2500 0.5000 1
Sc1 Sc 0.5000 0.5000 0.0000 1
```

Properties
Symmetry   I-42m
Calculated volume   37.40 Å³/atom

=====

(3)
CdPt2Pb: optimized geometry, GGA-PBE.

```
data_CdPt2Pb
_chemical_formula_sum 'Cd1 Pt2 Pb1'
_space_group_name_H-M_alt 'P 1'
_space_group_IT_number 1
_cell_length_a 9.5583
_cell_length_b 9.5583
_cell_length_c 9.5583
_cell_angle_alpha 19.04
_cell_angle_beta 19.04
_cell_angle_gamma 19.04
loop_
_space_group_symop_operation_xyz
'x,y,z'
loop_
_atom_site_label
_atom_site_type_symbol
_atom_site_fract_x
_atom_site_fract_y
_atom_site_fract_z
_atom_site_occupancy
Cd1 Cd 0.0000 0.0000 0.0000 1
Pt1 Pt 0.2581 0.2581 0.2581 1
Pt2 Pt 0.5160 0.5160 0.5160 1
Pb1 Pb 0.7689 0.7689 0.7689 1
```

Properties
Symmetry   R3m
Calculated volume   20.31 Å³/atom
Energy above the most stable polymorph in this dataset   296 meV/atom

=====

(4)
K2CdSn: optimized geometry, GGA-PBE.

```
data_K2CdSn
_chemical_formula_sum 'K2 Cd1 Sn1'
_space_group_name_H-M_alt 'P 1'
_space_group_IT_number 1
_cell_length_a 12.9278
_cell_length_b 12.9278
_cell_length_c 12.9278
_cell_angle_alpha 16.48
_cell_angle_beta 16.48
_cell_angle_gamma 16.48
loop_
_space_group_symop_operation_xyz
'x,y,z'
loop_
_atom_site_label
_atom_site_type_symbol
_atom_site_fract_x
_atom_site_fract_y
_atom_site_fract_z
_atom_site_occupancy
K1 K 0.0900 0.0900 0.0900 1
K2 K 0.9100 0.9100 0.9100 1
Cd1 Cd 0.5000 0.5000 0.5000 1
Sn1 Sn 0.0000 0.0000 0.0000 1
```

Properties
Symmetry   R-3m
Calculated volume   37.88 Å³/atom

=====

(5)
ZnSn3Pd: optimized geometry, GGA-PBE.

```
data_ZnSn3Pd
_chemical_formula_sum 'Zn1 Sn3 Pd1'
_space_group_name_H-M_alt 'P 1'
_space_group_IT_number 1
_cell_length_a 5.2156
_cell_length_b 5.2156
_cell_length_c 5.2156
_cell_angle_alpha 90.00
_cell_angle_beta 90.00
_cell_angle_gamma 90.00
loop_
_space_group_symop_operation_xyz
'x,y,z'
loop_
_atom_site_label
_atom_site_type_symbol
_atom_site_fract_x
_atom_site_fract_y
_atom_site_fract_z
_atom_site_occupancy
Zn1 Zn 0.0000 0.0000 0.0000 1
Sn1 Sn 0.0000 0.5000 0.5000 1
Sn2 Sn 0.5000 0.0000 0.5000 1
Sn3 Sn 0.5000 0.5000 0.0000 1
Pd1 Pd 0.5000 0.5000 0.5000 1
```

Properties
Symmetry   Pm-3m
Calculated volume   28.38 Å³/atom
Energy above the most stable polymorph in this dataset   0 meV/atom

=====

(6)
CeNi3B: optimized geometry, GGA-PBE.

```
data_CeNi3B
_chemical_formula_sum 'Ce2 Ni6 B2'
_space_group_name_H-M_alt 'P 1'
_space_group_IT_number 1
_cell_length_a 5.8944
_cell_length_b 5.8944
_cell_length_c 5.8944
_cell_angle_alpha 130.62
_cell_angle_beta 114.45
_cell_angle_gamma 86.28
loop_
_space_group_symop_operation_xyz
'x,y,z'
loop_
_atom_site_label
_atom_site_type_symbol
_atom_site_fract_x
_atom_site_fract_y
_atom_site_fract_z
_atom_site_occupancy
Ce1 Ce 0.0000 0.0000 0.0000 1
Ce2 Ce 0.5000 0.0000 0.5000 1
Ni1 Ni 0.0000 0.0000 0.5000 1
Ni2 Ni 0.0000 0.5000 0.0000 1
Ni3 Ni 0.2826 0.5000 0.7826 1
Ni4 Ni 0.5000 0.0000 0.0000 1
Ni5 Ni 0.5000 0.5000 0.5000 1
Ni6 Ni 0.7174 0.5000 0.2174 1
B1 B 0.3215 0.3215 0.0000 1
B2 B 0.6785 0.6785 0.0000 1
```

Properties
Symmetry   Immm
Calculated volume   13.52 Å³/atom

=====

no.,ΔE_f (eV per formula unit)
1,0.2
2,6.5
3,0.5
4,0.8
5,0.9
6,-1.7